Entry 1:
MgAu2Br after structural relaxation, computed with PBE.

Computed properties:
Offset from the most stable computed form (meV per atom): 630.1
Symmetry: Fm-3m (225)
E_form (uncorrected) (eV/atom): 0.104

a = 4.904 Å, b = 4.904 Å, c = 4.904 Å
α = 60.00°, β = 60.00°, γ = 60.00°
Element x y z (fractional)
Mg (0.000, 0.000, 0.000)
Au (0.250, 0.250, 0.250)
Au (0.750, 0.750, 0.750)
Br (0.500, 0.500, 0.500)

---

Entry 2:
CuRuBr2 after structural relaxation, computed with PBE.

Computed properties:
Offset from the most stable computed form (meV per atom): 173.8
Symmetry: P2/m (10)
E_form (uncorrected) (eV/atom): 0.428

a = 3.765 Å, b = 4.832 Å, c = 6.716 Å
α = 129.81°, β = 90.00°, γ = 90.00°
Each line ends with the local moment (μB).
Element x y z (fractional)
Br (0.000, 0.712, 0.974)  -0.03
Br (0.000, 0.788, 0.526)  -0.03
Cu (0.500, 0.250, 0.250)  -0.05
Ru (0.500, 0.750, 0.750)  -0.67

---

Entry 3:
K2LiHf after structural relaxation, computed with PBE.

Computed properties:
Offset from the most stable computed form (meV per atom): 0.0
Formation enthalpy at 0 K (eV/atom): 1.18
Symmetry: Fm-3m (225)

a = 6.133 Å, b = 6.133 Å, c = 6.133 Å
α = 60.00°, β = 60.00°, γ = 60.00°
Each line ends with the local moment (μB).
Element x y z (fractional)
K (0.250, 0.250, 0.250)  0.03
K (0.750, 0.750, 0.750)  0.03
Hf (0.500, 0.500, 0.500)  1.30
Li (0.000, 0.000, 0.000)  0.01

---

Entry 4:
TmMnS3 after structural relaxation, computed with PBE.

Computed properties:
Offset from the most stable computed form (meV per atom): 13.3
Symmetry: R-3 (148)
E_form (uncorrected) (eV/atom): -1.207

a = 6.468 Å, b = 6.468 Å, c = 6.889 Å
α = 61.99°, β = 61.98°, γ = 59.98°
Each line ends with the local moment (μB).
Element x y z (fractional)
Tm (0.353, 0.353, 0.940)  0.13
Tm (0.647, 0.647, 0.060)  0.13
Mn (0.842, 0.842, 0.474)  3.68
Mn (0.158, 0.158, 0.526)  3.68
S (0.783, 0.437, 0.735)  -0.02
S (0.045, 0.783, 0.735)  -0.02
S (0.437, 0.045, 0.735)  -0.02
S (0.217, 0.563, 0.265)  -0.02
S (0.955, 0.217, 0.265)  -0.02
S (0.563, 0.955, 0.265)  -0.02

---

Entry 5:
MgIn2Ru after structural relaxation, computed with PBE.

Computed properties:
Formation enthalpy at 0 K (eV/atom): 0.09
Symmetry: Cmmm (65)

a = 4.788 Å, b = 4.788 Å, c = 3.345 Å
α = 90.00°, β = 90.00°, γ = 101.26°
Element x y z (fractional)
In (0.000, 0.000, 0.000)
In (0.500, 0.500, 0.000)
Mg (0.500, 0.000, 0.500)
Ru (0.000, 0.500, 0.500)

---

Entry 6:
GdHgS2 after structural relaxation, computed with PBE.

Computed properties:
Symmetry: R-3m (166)
E_form (uncorrected) (eV/atom): -0.279

a = 4.076 Å, b = 4.076 Å, c = 8.360 Å
α = 75.89°, β = 75.89°, γ = 60.00°
Each line ends with the local moment (μB).
Element x y z (fractional)
S (0.107, 0.107, 0.680)  0.01
S (0.893, 0.893, 0.320)  0.01
Gd (0.000, 0.000, 0.000)  -7.12
Hg (0.500, 0.500, 0.500)  0.00

---

Entry 7:
ThCo3P2 after structural relaxation, computed with PBE.

Computed properties:
Formation enthalpy at 0 K (eV/atom): -0.89
Symmetry: C2/m (12)

a = 3.764 Å, b = 7.816 Å, c = 9.214 Å
α = 106.62°, β = 90.00°, γ = 103.93°
Each line ends with the local moment (μB).
Element x y z (fractional)
Th (0.154, 0.309, 0.698)  -0.02
Th (0.846, 0.691, 0.302)  -0.02
Th (0.000, 0.000, 0.000)  -0.02
Co (0.050, 0.100, 0.340)  0.36
Co (0.950, 0.900, 0.660)  0.36
Co (0.219, 0.439, 0.393)  0.23
Co (0.781, 0.561, 0.607)  0.23
Co (0.628, 0.256, 0.208)  0.31
Co (0.372, 0.744, 0.792)  0.31
Co (0.500, 0.000, 0.500)  0.16
Co (0.322, 0.645, 0.035)  -0.04
Co (0.678, 0.355, 0.965)  -0.04
P (0.200, 0.399, 0.129)  0.00
P (0.800, 0.601, 0.871)  0.00
P (0.472, 0.944, 0.230)  0.01
P (0.528, 0.056, 0.770)  0.01
P (0.359, 0.718, 0.551)  0.00
P (0.641, 0.282, 0.449)  0.00

---

Entry 8:
MgCuOs3 after structural relaxation, computed with PBE.

Computed properties:
Offset from the most stable computed form (meV per atom): 0.0
Formation enthalpy at 0 K (eV/atom): 1.85
Symmetry: Pm-3m (221)

a = 4.478 Å, b = 4.478 Å, c = 4.478 Å
α = 90.00°, β = 90.00°, γ = 90.00°
Each line ends with the local moment (μB).
Element x y z (fractional)
Mg (0.500, 0.500, 0.500)  -0.01
Os (0.000, 0.500, 0.000)  0.48
Os (0.000, 0.000, 0.500)  0.41
Os (0.500, 0.000, 0.000)  0.32
Cu (0.000, 0.000, 0.000)  0.06

---

Entry 9:
TcP2W after structural relaxation, computed with PBE.

Computed properties:
Offset from the most stable computed form (meV per atom): 302.6
Formation enthalpy at 0 K (eV/atom): -0.10
Symmetry: R3m (160)

a = 7.635 Å, b = 7.635 Å, c = 7.635 Å
α = 22.70°, β = 22.70°, γ = 22.70°
Element x y z (fractional)
P (0.000, 0.000, 0.000)
P (0.249, 0.249, 0.249)
Tc (0.509, 0.509, 0.509)
W (0.743, 0.743, 0.743)

---

Entry 10:
Cs2KV after structural relaxation, computed with PBE.

Computed properties:
Offset from the most stable computed form (meV per atom): 0.0
Formation enthalpy at 0 K (eV/atom): 0.93
Symmetry: Fm-3m (225)

a = 6.856 Å, b = 6.856 Å, c = 6.856 Å
α = 60.00°, β = 60.00°, γ = 60.00°
Each line ends with the local moment (μB).
Element x y z (fractional)
Cs (0.250, 0.250, 0.250)  0.03
Cs (0.750, 0.750, 0.750)  0.03
K (0.000, 0.000, 0.000)  0.01
V (0.500, 0.500, 0.500)  3.20

---

Entry 11:
Ni8Pt6W after structural relaxation, computed with PBE.

Computed properties:
Formation enthalpy at 0 K (eV/atom): 0.09
Symmetry: P-3 (147)

a = 5.085 Å, b = 6.867 Å, c = 6.867 Å
α = 120.00°, β = 90.00°, γ = 90.00°
Each line ends with the local moment (μB).
Element x y z (fractional)
Ni (0.842, 0.052, 0.294)  0.36
Ni (0.842, 0.706, 0.758)  0.36
Ni (0.842, 0.242, 0.948)  0.36
Ni (0.158, 0.948, 0.706)  0.36
Ni (0.158, 0.294, 0.242)  0.36
Ni (0.158, 0.758, 0.052)  0.36
Ni (0.942, 0.333, 0.667)  0.47
Ni (0.058, 0.667, 0.333)  0.47
Pt (0.667, 0.665, 0.083)  0.13
Pt (0.667, 0.917, 0.582)  0.13
Pt (0.667, 0.418, 0.335)  0.13
Pt (0.333, 0.335, 0.917)  0.13
Pt (0.333, 0.083, 0.418)  0.13
Pt (0.333, 0.582, 0.665)  0.13
W (0.500, 0.000, 0.000)  -0.12

---

Entry 12:
CoSN after structural relaxation, computed with PBE.

Computed properties:
Offset from the most stable computed form (meV per atom): 251.3
Symmetry: R3m (160)
E_form (uncorrected) (eV/atom): 0.090

a = 3.224 Å, b = 3.224 Å, c = 10.981 Å
α = 90.00°, β = 90.00°, γ = 120.00°
Element x y z (fractional)
Co (0.000, 0.000, 0.679)
Co (0.333, 0.667, 0.346)
Co (0.667, 0.333, 0.012)
S (0.000, 0.000, 0.110)
S (0.333, 0.667, 0.776)
S (0.667, 0.333, 0.443)
N (0.000, 0.000, 0.256)
N (0.333, 0.667, 0.923)
N (0.667, 0.333, 0.590)

---

Entry 13:
TbNdTm6 after structural relaxation, computed with PBE.

Computed properties:
Offset from the most stable computed form (meV per atom): 208.6
Formation enthalpy at 0 K (eV/atom): 0.23
Symmetry: C2/m (12)

a = 6.725 Å, b = 6.725 Å, c = 9.471 Å
α = 111.21°, β = 111.21°, γ = 120.46°
Element x y z (fractional)
Tb (0.000, 0.000, 0.000)
Nd (0.500, 0.500, 0.500)
Tm (0.296, 0.296, 0.752)
Tm (0.670, 0.164, 0.244)
Tm (0.704, 0.704, 0.248)
Tm (0.836, 0.330, 0.756)
Tm (0.330, 0.836, 0.756)
Tm (0.164, 0.670, 0.244)

---

Entry 14:
Cs3ZrAu after structural relaxation, computed with PBE.

Computed properties:
Formation enthalpy at 0 K (eV/atom): 0.94
Symmetry: Pm-3m (221)

a = 7.018 Å, b = 7.018 Å, c = 7.018 Å
α = 90.00°, β = 90.00°, γ = 90.00°
Each line ends with the local moment (μB).
Element x y z (fractional)
Cs (0.000, 0.500, 0.000)  0.07
Cs (0.000, 0.000, 0.500)  0.07
Cs (0.500, 0.000, 0.000)  0.04
Au (0.500, 0.500, 0.500)  0.00
Zr (0.000, 0.000, 0.000)  1.90

---

Entry 15:
NpPaGa4 after structural relaxation, computed with PBE.

Computed properties:
Offset from the most stable computed form (meV per atom): 38.6
Formation enthalpy at 0 K (eV/atom): -0.23
Symmetry: Pmmm (47)

a = 3.239 Å, b = 4.617 Å, c = 7.991 Å
α = 90.00°, β = 90.00°, γ = 90.00°
Each line ends with the local moment (μB).
Element x y z (fractional)
Np (0.500, 0.000, 0.000)  3.96
Pa (0.500, 0.500, 0.500)  0.33
Ga (0.000, 0.000, 0.667)  0.00
Ga (0.000, 0.500, 0.833)  0.00
Ga (0.000, 0.000, 0.333)  0.00
Ga (0.000, 0.500, 0.167)  0.00

---

Size of the total moment list, top to bottom, in μB per formula unit: 0.00, 0.83, 2.76, 4.00, 0.00, 7.52, 0.59, 1.30, 0.00, 4.88, 3.59, 0.00, 0.00, 4.26, 4.61